1.
The following is a PBE calculation of a geometry-optimized HgB2I structure, from Alexandria.

```
HgB2I
1.0
-2.2343 2.2940 3.5312
-1.9177 4.2931 -0.7847
-4.7383 0.5096 -0.1116
I B Hg
1 2 1
Cartesian
0.0000 0.0000 0.0000
-2.2226 1.7742 0.6587
-6.6677 5.3225 1.9762
-4.4451 3.5483 1.3174
```

Values from the calculation:
symmetry = No. 225



2.
The following is a PBE calculation of a geometry-optimized Hg3BI structure, from Alexandria.

```
Hg3BI
1.0
6.5993 0.0000 0.0000
0.0000 6.5993 0.0000
0.0000 0.0000 6.5993
I B Hg
1 1 3
Cartesian
0.0000 0.0000 0.0000
3.2996 3.2996 3.2996
0.0000 3.2996 0.0000
0.0000 0.0000 3.2996
3.2996 0.0000 0.0000
```

Values from the calculation:
symmetry = No. 221



Asked for total energy across the records above, the calculation gives -1.764 -0.429 eV per atom in order.
Asked for E above lowest polymorph across the records above, the calculation gives 57.7 98.2 kJ/mol of atoms in order.